PBE with a Hubbard U Sr3NiRh2O9, optimized geometry; uncorrected energy = -0.4449 Ry/atom; calculated density = 5.90 g/cm3; SG = P-3m1
1.0
5.621 0.000 0.000
-2.810 4.868 0.000
0.000 0.000 6.903
O Sr Ni Rh
9 3 1 2
direct
0.339 0.170 0.671
0.170 0.830 0.329
0.830 0.661 0.671
0.500 0.500 0.000
0.500 0.000 0.000
0.661 0.830 0.329
0.830 0.170 0.671
0.170 0.339 0.329
0.000 0.500 0.000
0.333 0.667 0.658
0.667 0.333 0.342
0.000 0.000 0.000
0.000 0.000 0.500
0.333 0.667 0.169
0.667 0.333 0.831